DFT (PBE) results for a geometry-optimized Hf2B2O5 structure.

a = 3.3090 Å, b = 3.3090 Å, c = 6.9218 Å
α = 90.00°, β = 90.00°, γ = 90.00°
Positions (direct):
Hf  0.0000  0.0000  0.0000
Hf  0.0000  0.0000  0.5000
B  0.5000  0.5000  0.1295
B  0.5000  0.5000  0.8705
O  0.0000  0.5000  0.2152
O  0.0000  0.5000  0.7848
O  0.5000  0.0000  0.2152
O  0.5000  0.0000  0.7848
O  0.5000  0.5000  0.5000

Output
Its energy above the most stable polymorph in this dataset is 0.000 eV per formula unit.